# 1
First-principles (PBE) data for crystalline KTa2ZnO at its relaxed geometry, as listed in Alexandria via LeMat-Bulk.

Cell lengths 4.8043, 4.8043, 4.2841 Å; angles 90.00, 90.00, 90.00 degrees
Space group P4/mmm (No. 123)
Symmetry-distinct sites (fractional):
K 0.0000 0.0000 0.0000 (multiplicity 1)
Ta 0.0000 0.5000 0.0000 (multiplicity 2)
Zn 0.5000 0.5000 0.5000 (multiplicity 1)
O 0.0000 0.0000 0.5000 (multiplicity 1)

Electronic total energy, Ha/atom: -0.13727

# 2
First-principles (PBE) data for crystalline Cd2PtI6 at its relaxed geometry, as listed in Alexandria via LeMat-Bulk.

Cell lengths 12.5464, 18.4643, 7.8983 Å; angles 90.00, 117.20, 90.00 degrees
Space group C2/c (No. 15)
Symmetry-distinct sites (fractional):
Cd 0.2398 0.0855 0.3604 (multiplicity 8)
Pt 0.0000 0.2843 0.2500 (multiplicity 4)
I 0.0105 0.3839 0.4959 (multiplicity 8)
I 0.0810 0.1891 0.0881 (multiplicity 8)
I 0.1785 0.0494 0.6564 (multiplicity 8)

Electronic total energy, Ha/atom: -0.08295

# 3
First-principles (PBE) data for crystalline PrHgBiSb at its relaxed geometry, as listed in Alexandria via LeMat-Bulk.

Cell lengths 7.7698, 7.7698, 7.7698 Å; angles 90.00, 90.00, 90.00 degrees
Space group F-43m (No. 216)
Symmetry-distinct sites (fractional):
Pr 0.0000 0.0000 0.0000 (multiplicity 4)
Hg 0.2500 0.2500 0.7500 (multiplicity 4)
Bi 0.0000 0.0000 0.5000 (multiplicity 4)
Sb 0.2500 0.2500 0.2500 (multiplicity 4)

Electronic total energy, Ha/atom: -0.13329

# 4
First-principles (PBE) data for crystalline BeFeAg2 at its relaxed geometry, as listed in Alexandria via LeMat-Bulk.

Cell lengths 2.8910, 4.4392, 8.9071 Å; angles 90.00, 90.00, 90.00 degrees
Space group Immm (No. 71)
Symmetry-distinct sites (fractional):
Be 0.0000 0.0000 0.0000 (multiplicity 2)
Fe 0.0000 0.0000 0.5000 (multiplicity 2)
Ag 0.0000 0.5000 0.2860 (multiplicity 4)

ΔH_f (0 K), eV/atom: 0.375